{
  "formula": "Ti3MoP2",
  "functional": "PBE-GGA",
  "state": "optimized geometry",
  "space_group": "Ibam, No. 72",
  "e_form_ev_per_fu": -4.3,
  "lattice_angstrom": [[5.431, 0.000, 0.000], [0.000, 6.414, 0.000], [-2.715, -3.207, 5.514]],
  "species": ["P", "P", "P", "P", "Ti", "Ti", "Ti", "Ti", "Ti", "Ti", "Mo", "Mo"],
  "fractional_positions": [[0.806, 0.153, 0.305], [0.501, 0.347, 0.695], [0.194, 0.847, 0.695], [0.499, 0.653, 0.305], [0.187, 0.437, 0.374], [0.813, 0.063, 0.626], [0.187, 0.937, 0.374], [0.813, 0.563, 0.626], [0.500, 0.250, 0.000], [0.500, 0.750, 0.000], [0.000, 0.500, 0.000], [0.000, 0.000, 0.000]]
}

{
  "formula": "CsSeI2N",
  "functional": "PBE-GGA",
  "state": "optimized geometry",
  "polymorph_energy_mev_per_atom": 0,
  "formation_energy_uncorrected_ev_per_atom": 0.10,
  "space_group": "P4/mmm, No. 123",
  "lattice_angstrom": [[-4.572, -3.253, 3.924], [-0.941, -4.643, -4.945], [2.736, -2.098, 1.449]],
  "species": ["Se", "I", "I", "Cs", "N"],
  "fractional_positions": [[0.000, 0.000, 0.000], [0.500, 0.000, 0.000], [0.000, 0.500, 0.000], [0.500, 0.500, 0.500], [0.000, 0.000, 0.500]]
}

{
  "formula": "PaZn3Rh",
  "functional": "PBE-GGA",
  "state": "optimized geometry",
  "space_group": "Amm2, No. 38",
  "e_form_ev_per_fu": -0.8,
  "lattice_angstrom": [[4.533, 0.000, 0.000], [0.000, 4.449, 0.000], [0.000, -2.224, 4.815]],
  "species": ["Zn", "Zn", "Zn", "Rh", "Pa"],
  "fractional_positions": [[0.000, 0.550, 0.101], [0.000, 0.252, 0.504], [0.500, 0.731, 0.462], [0.500, 0.386, 0.772], [0.500, 0.040, 0.080]]
}

{
  "formula": "BeCrSe",
  "functional": "PBE-GGA",
  "state": "optimized geometry",
  "polymorph_energy_mev_per_atom": 314,
  "formation_energy_uncorrected_ev_per_atom": 0.37,
  "space_group": "F-43m, No. 216",
  "lattice_angstrom": [[4.094, 0.000, 0.000], [2.047, 3.546, 0.000], [2.047, 1.182, 3.343]],
  "species": ["Cr", "Be", "Se"],
  "fractional_positions": [[0.750, 0.750, 0.750], [0.500, 0.500, 0.500], [0.000, 0.000, 0.000]]
}

{
  "formula": "Li7Hg2Ge",
  "functional": "PBE-GGA",
  "state": "optimized geometry",
  "space_group": "P3m1, No. 156",
  "e_form_ev_per_fu": -2.3,
  "lattice_angstrom": [[4.540, 0.000, 0.000], [-2.270, 3.931, 0.000], [0.000, 0.000, 10.514]],
  "species": ["Li", "Li", "Li", "Li", "Li", "Li", "Li", "Ge", "Hg", "Hg"],
  "fractional_positions": [[0.000, 0.000, 0.292], [0.333, 0.667, 0.909], [0.667, 0.333, 0.989], [0.000, 0.000, 0.769], [0.333, 0.667, 0.397], [0.667, 0.333, 0.542], [0.333, 0.667, 0.138], [0.000, 0.000, 0.029], [0.333, 0.667, 0.654], [0.667, 0.333, 0.264]]
}

{
  "formula": "CaZn9Rh2",
  "functional": "PBE-GGA",
  "state": "optimized geometry",
  "space_group": "I4_1/amd, No. 141",
  "e_form_ev_per_fu": -3.6,
  "lattice_angstrom": [[6.361, 0.000, 2.929], [3.181, 7.455, 1.464], [0.063, 0.000, 8.236]],
  "species": ["Zn", "Zn", "Zn", "Zn", "Zn", "Zn", "Zn", "Zn", "Zn", "Zn", "Zn", "Zn", "Zn", "Zn", "Zn", "Zn", "Zn", "Zn", "Rh", "Rh", "Rh", "Rh", "Ca", "Ca"],
  "fractional_positions": [[0.680, 0.170, 0.586], [0.150, 0.170, 0.414], [0.600, 0.330, 0.086], [0.070, 0.914, 0.330], [0.680, 0.586, 0.170], [0.734, 0.586, 0.830], [0.436, 0.414, 0.830], [0.150, 0.414, 0.170], [0.436, 0.830, 0.414], [0.600, 0.086, 0.330], [0.016, 0.914, 0.670], [0.000, 0.000, 0.000], [0.750, 0.500, 0.500], [0.070, 0.330, 0.914], [0.734, 0.830, 0.586], [0.016, 0.670, 0.914], [0.314, 0.670, 0.086], [0.314, 0.086, 0.670], [0.875, 0.250, 0.250], [0.875, 0.750, 0.250], [0.875, 0.250, 0.750], [0.375, 0.750, 0.750], [0.500, 0.000, 0.000], [0.250, 0.500, 0.500]]
}

{
  "formula": "TlSn3C",
  "functional": "PBE-GGA",
  "state": "optimized geometry",
  "polymorph_energy_mev_per_atom": 1207,
  "space_group": "Pm-3m, No. 221",
  "e_form_ev_per_fu": 10.0,
  "lattice_angstrom": [[5.773, 0.000, 0.000], [0.000, 5.773, 0.000], [0.000, 0.000, 5.773]],
  "species": ["Tl", "Sn", "Sn", "Sn", "C"],
  "fractional_positions": [[0.000, 0.000, 0.000], [0.000, 0.500, 0.000], [0.000, 0.000, 0.500], [0.500, 0.000, 0.000], [0.500, 0.500, 0.500]]
}

{
  "formula": "Na2CaAg2Br6",
  "functional": "PBE-GGA",
  "state": "optimized geometry",
  "formation_energy_uncorrected_ev_per_atom": -1.22,
  "space_group": "C2/m, No. 12",
  "lattice_angstrom": [[7.501, -0.066, 0.405], [-3.764, 6.488, 0.405], [-1.056, -1.816, 6.741]],
  "species": ["Br", "Br", "Br", "Br", "Br", "Br", "Ag", "Ag", "Ca", "Na", "Na"],
  "fractional_positions": [[0.721, 0.721, 0.734], [0.279, 0.279, 0.266], [0.032, 0.361, 0.736], [0.639, 0.968, 0.264], [0.968, 0.639, 0.264], [0.361, 0.032, 0.736], [0.882, 0.118, 0.000], [0.118, 0.882, 0.000], [0.000, 0.000, 0.500], [0.667, 0.333, 0.500], [0.333, 0.667, 0.500]]
}

{
  "formula": "PtW2",
  "functional": "PBE-GGA",
  "state": "optimized geometry",
  "polymorph_energy_mev_per_atom": 1168,
  "space_group": "Pa-3, No. 205",
  "e_form_ev_per_fu": 3.3,
  "lattice_angstrom": [[-6.098, 0.823, -0.228], [-0.765, -4.541, 4.087], [0.378, 4.076, 4.600]],
  "species": ["W", "W", "W", "W", "W", "W", "W", "W", "Pt", "Pt", "Pt", "Pt"],
  "fractional_positions": [[0.614, 0.614, 0.614], [0.386, 0.114, 0.886], [0.614, 0.886, 0.114], [0.114, 0.886, 0.386], [0.886, 0.386, 0.114], [0.386, 0.386, 0.386], [0.114, 0.614, 0.886], [0.886, 0.114, 0.614], [0.000, 0.000, 0.000], [0.500, 0.500, 0.000], [0.000, 0.500, 0.500], [0.500, 0.000, 0.500]]
}

{
  "formula": "IrPdN2",
  "functional": "PBE-GGA",
  "state": "optimized geometry",
  "polymorph_energy_mev_per_atom": 77,
  "formation_energy_uncorrected_ev_per_atom": 0.75,
  "space_group": "I-42d, No. 122",
  "lattice_angstrom": [[-1.948, 4.458, 0.304], [-0.088, -0.369, 4.860], [3.050, 3.808, 2.789]],
  "species": ["Pd", "Pd", "N", "N", "N", "N", "Ir", "Ir"],
  "fractional_positions": [[0.250, 0.750, 0.500], [0.500, 0.500, 0.000], [0.663, 0.125, 0.250], [0.375, 0.337, 0.750], [0.087, 0.625, 0.250], [0.875, 0.913, 0.750], [0.000, 0.000, 0.000], [0.750, 0.250, 0.500]]
}

{
  "formula": "CaPmAgPt",
  "functional": "PBE-GGA",
  "state": "optimized geometry",
  "polymorph_energy_mev_per_atom": 27,
  "space_group": "F-43m, No. 216",
  "e_form_ev_per_fu": -2.7,
  "lattice_angstrom": [[-3.555, 3.078, 1.991], [-4.486, -1.919, 1.504], [-1.120, -0.276, 4.974]],
  "species": ["Ag", "Ca", "Pm", "Pt"],
  "fractional_positions": [[0.250, 0.250, 0.250], [0.500, 0.500, 0.500], [0.000, 0.000, 0.000], [0.750, 0.750, 0.750]]
}

{
  "formula": "Nd2TiNiS5",
  "functional": "PBE-GGA",
  "state": "optimized geometry",
  "formation_energy_uncorrected_ev_per_atom": -1.60,
  "space_group": "Cmc2_1, No. 36",
  "lattice_angstrom": [[-1.338, 3.089, 1.666], [-7.018, -4.653, -1.243], [1.416, -4.830, 10.089]],
  "species": ["Ni", "Ni", "S", "S", "S", "S", "S", "S", "S", "S", "S", "S", "Nd", "Nd", "Nd", "Nd", "Ti", "Ti"],
  "fractional_positions": [[0.576, 0.151, 0.944], [0.424, 0.849, 0.444], [0.710, 0.420, 0.163], [0.654, 0.308, 0.507], [0.305, 0.609, 0.362], [0.346, 0.692, 0.007], [0.695, 0.391, 0.862], [0.952, 0.904, 0.548], [0.499, 0.999, 0.781], [0.501, 0.001, 0.281], [0.290, 0.580, 0.663], [0.048, 0.096, 0.048], [0.126, 0.252, 0.314], [0.113, 0.227, 0.694], [0.874, 0.748, 0.814], [0.887, 0.773, 0.194], [0.186, 0.371, 0.011], [0.814, 0.629, 0.511]]
}

{
  "formula": "CeZrTc2",
  "functional": "PBE-GGA",
  "state": "optimized geometry",
  "space_group": "P4/mmm, No. 123",
  "e_form_ev_per_fu": -0.7,
  "lattice_angstrom": [[3.362, 0.000, 0.000], [0.000, 3.362, 0.000], [0.000, 0.000, 6.714]],
  "species": ["Tc", "Tc", "Zr", "Ce"],
  "fractional_positions": [[0.000, 0.000, 0.248], [0.000, 0.000, 0.752], [0.500, 0.500, 0.000], [0.500, 0.500, 0.500]]
}

{
  "formula": "Re3Mo2W2",
  "functional": "PBE-GGA",
  "state": "optimized geometry",
  "space_group": "Cm, No. 8",
  "e_form_ev_per_fu": 2.6,
  "lattice_angstrom": [[-0.914, -1.955, 1.689], [3.144, -3.519, -0.147], [5.515, 1.784, 7.276]],
  "species": ["Mo", "Mo", "W", "W", "Re", "Re", "Re"],
  "fractional_positions": [[0.292, 0.702, 0.715], [0.647, 0.427, 0.278], [0.077, 0.274, 0.572], [0.863, 0.849, 0.424], [0.420, 0.015, 0.145], [0.194, 0.606, 0.007], [0.509, 0.124, 0.858]]
}

{
  "formula": "BeAsRu",
  "functional": "PBE-GGA",
  "state": "optimized geometry",
  "polymorph_energy_mev_per_atom": 229,
  "space_group": "F-43m, No. 216",
  "e_form_ev_per_fu": 0.1,
  "lattice_angstrom": [[-1.487, 1.465, 3.387], [-3.250, -1.630, 1.615], [0.290, -2.095, 3.370]],
  "species": ["Be", "Ru", "As"],
  "fractional_positions": [[0.500, 0.500, 0.500], [0.750, 0.750, 0.750], [0.000, 0.000, 0.000]]
}

{
  "formula": "Ca3BP2Pt9",
  "functional": "PBE-GGA",
  "state": "optimized geometry",
  "space_group": "P-3m1, No. 164",
  "e_form_ev_per_fu": -9.8,
  "lattice_angstrom": [[-4.193, -3.446, -3.685], [5.693, -2.675, 1.863], [-3.207, -2.595, 6.075]],
  "species": ["Pt", "Pt", "Pt", "Pt", "Pt", "Pt", "Pt", "Pt", "Pt", "P", "P", "Ca", "Ca", "Ca", "B"],
  "fractional_positions": [[0.500, 0.500, 0.000], [0.144, 0.288, 0.311], [0.144, 0.856, 0.311], [0.856, 0.144, 0.689], [0.712, 0.856, 0.311], [0.856, 0.712, 0.689], [0.288, 0.144, 0.689], [0.000, 0.500, 0.000], [0.500, 0.000, 0.000], [0.667, 0.333, 0.791], [0.333, 0.667, 0.209], [0.333, 0.667, 0.653], [0.000, 0.000, 0.000], [0.667, 0.333, 0.347], [0.000, 0.000, 0.500]]
}

{
  "formula": "ReMo2HPd",
  "functional": "PBE-GGA",
  "state": "optimized geometry",
  "polymorph_energy_mev_per_atom": 3,
  "space_group": "P4/mmm, No. 123",
  "lattice_angstrom": [[4.001, 0.000, 0.000], [0.000, 4.001, 0.000], [0.000, 0.000, 3.957]],
  "species": ["Mo", "Mo", "Re", "H", "Pd"],
  "fractional_positions": [[0.500, 0.000, 0.000], [0.000, 0.500, 0.000], [0.000, 0.000, 0.500], [0.000, 0.000, 0.000], [0.500, 0.500, 0.500]]
}

{
  "formula": "SnSb2S4",
  "functional": "PBE-GGA",
  "state": "optimized geometry",
  "formation_energy_uncorrected_ev_per_atom": -0.28,
  "space_group": "Cc, No. 9",
  "lattice_angstrom": [[7.337, -0.134, -2.241], [-2.709, 6.410, -2.349], [-0.398, -0.095, 8.387]],
  "species": ["Sb", "Sb", "Sb", "Sb", "S", "S", "S", "S", "S", "S", "S", "S", "Sn", "Sn"],
  "fractional_positions": [[0.063, 0.420, 0.784], [0.529, 0.386, 0.716], [0.658, 0.906, 0.319], [0.589, 0.337, 0.181], [0.864, 0.570, 0.026], [0.386, 0.038, 0.225], [0.338, 0.171, 0.838], [0.411, 0.563, 0.275], [0.750, 0.083, 0.662], [0.510, 0.740, 0.850], [0.910, 0.639, 0.650], [0.088, 0.294, 0.474], [0.221, 0.695, 0.537], [0.934, 0.908, 0.963]]
}

{
  "formula": "NaScSe2O8",
  "functional": "PBE-GGA",
  "state": "optimized geometry",
  "formation_energy_uncorrected_ev_per_atom": -1.43,
  "space_group": "P-3, No. 147",
  "lattice_angstrom": [[5.391, 0.000, 0.000], [-2.696, 4.669, 0.000], [0.000, 0.000, 7.214]],
  "species": ["O", "O", "O", "O", "O", "O", "O", "O", "Sc", "Na", "Se", "Se"],
  "fractional_positions": [[0.667, 0.333, 0.012], [0.246, 0.906, 0.682], [0.340, 0.246, 0.318], [0.754, 0.094, 0.318], [0.333, 0.667, 0.988], [0.094, 0.340, 0.682], [0.906, 0.660, 0.318], [0.660, 0.754, 0.682], [0.000, 0.000, 0.500], [0.000, 0.000, 0.000], [0.667, 0.333, 0.239], [0.333, 0.667, 0.761]]
}

{
  "formula": "Tb7Y16Sc6",
  "functional": "PBE-GGA",
  "state": "optimized geometry",
  "space_group": "Fm-3m, No. 225",
  "e_form_ev_per_fu": 5.7,
  "lattice_angstrom": [[9.395, 0.000, 5.424], [3.132, 8.858, 5.424], [0.000, 0.000, 10.848]],
  "species": ["Y", "Y", "Y", "Y", "Y", "Y", "Y", "Y", "Y", "Y", "Y", "Y", "Y", "Y", "Y", "Y", "Tb", "Tb", "Tb", "Tb", "Tb", "Tb", "Tb", "Sc", "Sc", "Sc", "Sc", "Sc", "Sc"],
  "fractional_positions": [[0.612, 0.612, 0.164], [0.558, 0.147, 0.147], [0.388, 0.388, 0.836], [0.147, 0.147, 0.558], [0.164, 0.612, 0.612], [0.147, 0.558, 0.147], [0.612, 0.164, 0.612], [0.836, 0.388, 0.388], [0.853, 0.853, 0.853], [0.853, 0.442, 0.853], [0.612, 0.612, 0.612], [0.388, 0.388, 0.388], [0.442, 0.853, 0.853], [0.388, 0.836, 0.388], [0.853, 0.853, 0.442], [0.147, 0.147, 0.147], [0.500, 0.000, 0.000], [0.500, 0.000, 0.500], [0.000, 0.000, 0.500], [0.500, 0.500, 0.000], [0.000, 0.500, 0.500], [0.000, 0.000, 0.000], [0.000, 0.500, 0.000], [0.224, 0.776, 0.776], [0.776, 0.224, 0.224], [0.776, 0.776, 0.224], [0.224, 0.776, 0.224], [0.224, 0.224, 0.776], [0.776, 0.224, 0.776]]
}

{
  "formula": "UTiV2",
  "functional": "PBE-GGA",
  "state": "optimized geometry",
  "polymorph_energy_mev_per_atom": 62,
  "space_group": "P4/mmm, No. 123",
  "e_form_ev_per_fu": 0.7,
  "lattice_angstrom": [[-1.822, 2.251, 1.343], [0.162, -1.536, 2.794], [5.173, 3.287, 1.506]],
  "species": ["V", "V", "Ti", "U"],
  "fractional_positions": [[0.000, 0.000, 0.766], [0.000, 0.000, 0.234], [0.500, 0.500, 0.500], [0.500, 0.500, 0.000]]
}

{
  "formula": "VRuS3",
  "functional": "PBE-GGA",
  "state": "optimized geometry",
  "polymorph_energy_mev_per_atom": 0,
  "formation_energy_uncorrected_ev_per_atom": 0.49,
  "space_group": "Pm-3m, No. 221",
  "lattice_angstrom": [[-2.132, -1.364, 3.767], [-3.591, -1.242, -2.482], [1.777, -4.147, -0.496]],
  "species": ["Ru", "S", "S", "S", "V"],
  "fractional_positions": [[0.500, 0.500, 0.500], [0.500, 0.000, 0.000], [0.000, 0.500, 0.000], [0.000, 0.000, 0.500], [0.000, 0.000, 0.000]]
}